Record 1
First-principles (PBE-GGA) data for a geometry-optimized YGa6Ir4 structure, as listed in the Alexandria database.

Summary:
**Symmetry**: I-42m (121)

Unit cell a=6.599 b=6.599 c=6.599 alpha=89.62 beta=120.22 gamma=120.22
Atoms (fractional coordinates):
Ga1 0.500 0.500 0.000
Ga2 0.348 0.471 0.471
Ga3 0.000 0.529 0.877
Ga4 0.652 0.123 0.123
Ga5 0.000 0.877 0.529
Ga6 0.500 0.000 0.500
Ir1 0.000 0.237 0.604
Ir2 0.367 0.763 0.763
Ir3 0.000 0.604 0.237
Ir4 0.633 0.396 0.396
Y1 0.000 0.000 0.000

Record 2
First-principles (PBE-GGA) data for a geometry-optimized MnZnIn structure, as listed in the Alexandria database.

Summary:
**Symmetry**: F-43m (216)

Unit cell a=4.376 b=4.376 c=4.376 alpha=60.00 beta=60.00 gamma=60.00
Atoms (fractional coordinates):
In1 0.000 0.000 0.000
Mn1 0.500 0.500 0.500
Zn1 0.250 0.250 0.250

Number 1: formation energy from the elements -0.52 eV per atom, V 202.54 Å³/cell. Number 2: formation energy from the elements 0.26 eV per atom, V 59.25 Å³/cell.